No. 1
Computed, not measured: Nd2ZnP3Rh4 after structural relaxation at the PBE level of DFT.

Cell: 4.1334 4.1334 9.9182 Å, 90.00 90.00 90.00°
Positions (direct):
Nd1 0.0000 0.5000 0.2472
Nd2 0.5000 0.0000 0.7528
Zn1 0.5000 0.5000 0.0000
P1 0.0000 0.0000 0.0000
P2 0.0000 0.5000 0.6344
P3 0.5000 0.0000 0.3656
Rh1 0.0000 0.0000 0.5000
Rh2 0.0000 0.5000 0.8679
Rh3 0.5000 0.0000 0.1321
Rh4 0.5000 0.5000 0.5000

ΔE_f = -10.0 eV/f.u.
N(E_F) = 5.29 states/eV/f.u.
mass density = 8.41 Mg/m³
symmetry = No. 115

=====

No. 2
Computed, not measured: Nd3ZnP2Rh9 after structural relaxation at the PBE level of DFT.

Cell: 6.2965 6.2965 8.0516 Å, 90.00 90.00 120.00°
Positions (direct):
Nd1 0.0000 0.0000 0.0000
Nd2 0.3333 0.6667 0.6519
Nd3 0.6667 0.3333 0.3481
Zn1 0.0000 0.0000 0.5000
P1 0.3333 0.6667 0.1629
P2 0.6667 0.3333 0.8371
Rh1 0.0000 0.5000 0.0000
Rh2 0.1670 0.3339 0.3111
Rh3 0.1670 0.8330 0.3111
Rh4 0.3339 0.1670 0.6889
Rh5 0.5000 0.0000 0.0000
Rh6 0.5000 0.5000 0.0000
Rh7 0.6661 0.8330 0.3111
Rh8 0.8330 0.1670 0.6889
Rh9 0.8330 0.6661 0.6889

ΔE_f = -8.7 eV/f.u.
N(E_F) = 1.29 states/eV/f.u.
mass density = 8.93 Mg/m³
symmetry = No. 164

=====

No. 3
Computed, not measured: Nd2ZrP3Rh12 after structural relaxation at the PBE level of DFT.

Cell: 6.7459 6.7459 6.7459 Å, 82.95 82.95 82.95°
Positions (direct):
Nd1 0.1225 0.1225 0.1225
Nd2 0.8775 0.8775 0.8775
Zr1 0.5000 0.5000 0.5000
P1 0.0000 0.5000 0.5000
P2 0.5000 0.0000 0.5000
P3 0.5000 0.5000 0.0000
Rh1 0.1399 0.1399 0.5845
Rh2 0.1399 0.5846 0.1399
Rh3 0.1669 0.6750 0.6750
Rh4 0.3250 0.3250 0.8331
Rh5 0.3250 0.8331 0.3250
Rh6 0.4155 0.8601 0.8601
Rh7 0.5845 0.1399 0.1399
Rh8 0.6750 0.1669 0.6750
Rh9 0.6750 0.6750 0.1669
Rh10 0.8331 0.3250 0.3250
Rh11 0.8601 0.4155 0.8601
Rh12 0.8601 0.8601 0.4155

ΔE_f = -5.6 eV/f.u.
N(E_F) = 18.89 states/eV/f.u.
mass density = 9.43 Mg/m³
symmetry = No. 166

=====

No. 4
Computed, not measured: NdP2Ru after structural relaxation at the PBE level of DFT.

Cell: 4.0124 4.0124 9.6595 Å, 90.00 90.00 90.00°
Positions (direct):
Nd1 0.0000 0.0000 0.0000
Nd2 0.5000 0.5000 0.5000
P1 0.0000 0.0000 0.3703
P2 0.0000 0.0000 0.6297
P3 0.5000 0.5000 0.1297
P4 0.5000 0.5000 0.8703
Ru1 0.0000 0.5000 0.2500
Ru2 0.5000 0.0000 0.7500

ΔE_f = -3.3 eV/f.u.
N(E_F) = 3.31 states/eV/f.u.
mass density = 6.56 Mg/m³
symmetry = No. 119

=====

No. 5
Computed, not measured: NdP4Ru4 after structural relaxation at the PBE level of DFT.

Cell: 5.9802 5.9802 7.7478 Å, 90.00 90.00 90.00°
Positions (direct):
Nd1 0.2500 0.7500 0.2500
Nd2 0.7500 0.2500 0.7500
P1 0.0404 0.2500 0.0715
P2 0.2500 0.0404 0.5715
P3 0.2500 0.4596 0.5715
P4 0.4596 0.2500 0.0715
P5 0.5404 0.7500 0.9285
P6 0.7500 0.5404 0.4285
P7 0.7500 0.9596 0.4285
P8 0.9596 0.7500 0.9285
Ru1 0.0214 0.2500 0.3733
Ru2 0.2500 0.0214 0.8732
Ru3 0.2500 0.4786 0.8732
Ru4 0.4786 0.2500 0.3733
Ru5 0.5214 0.7500 0.6268
Ru6 0.7500 0.5214 0.1268
Ru7 0.7500 0.9786 0.1268
Ru8 0.9786 0.7500 0.6268

ΔE_f = -5.8 eV/f.u.
N(E_F) = 4.67 states/eV/f.u.
mass density = 8.06 Mg/m³
symmetry = No. 137

=====

No. 6
Computed, not measured: NdP2Ru after structural relaxation at the PBE level of DFT.

Cell: 4.0492 4.0492 15.1094 Å, 90.00 90.00 120.00°
Positions (direct):
Nd1 0.0000 0.0000 0.0000
Nd2 0.3333 0.6667 0.6667
Nd3 0.6667 0.3333 0.3333
P1 0.0000 0.0000 0.2156
P2 0.0000 0.0000 0.7844
P3 0.3333 0.6667 0.4510
P4 0.3333 0.6667 0.8823
P5 0.6667 0.3333 0.1177
P6 0.6667 0.3333 0.5490
Ru1 0.0000 0.0000 0.5000
Ru2 0.3333 0.6667 0.1667
Ru3 0.6667 0.3333 0.8333

ΔE_f = -3.7 eV/f.u.
N(E_F) = 2.76 states/eV/f.u.
mass density = 7.13 Mg/m³
symmetry = No. 166

=====

No. 7
Computed, not measured: NdP3Ru3 after structural relaxation at the PBE level of DFT.

Cell: 7.8296 7.8296 7.8296 Å, 50.61 50.61 50.61°
Positions (direct):
Nd1 0.1669 0.1669 0.1669
Nd2 0.8331 0.8331 0.8331
P1 0.0910 0.4014 0.7226
P2 0.2774 0.9090 0.5986
P3 0.4014 0.7226 0.0910
P4 0.5986 0.2774 0.9090
P5 0.7226 0.0910 0.4014
P6 0.9090 0.5986 0.2774
Ru1 0.0307 0.7208 0.3820
Ru2 0.2792 0.6180 0.9693
Ru3 0.3820 0.0307 0.7208
Ru4 0.6180 0.9693 0.2792
Ru5 0.7208 0.3820 0.0307
Ru6 0.9693 0.2792 0.6180

ΔE_f = -5.1 eV/f.u.
N(E_F) = 4.17 states/eV/f.u.
mass density = 6.79 Mg/m³
symmetry = No. 148

=====

No. 8
Computed, not measured: NdZn2PRu2 after structural relaxation at the PBE level of DFT.

Cell: 4.3866 4.3866 5.7255 Å, 90.00 90.00 90.00°
Positions (direct):
Nd1 0.0000 0.0000 0.0000
Zn1 0.5000 0.5000 0.2221
Zn2 0.5000 0.5000 0.7779
P1 0.0000 0.0000 0.5000
Ru1 0.0000 0.5000 0.5000
Ru2 0.5000 0.0000 0.5000

ΔE_f = -2.5 eV/f.u.
N(E_F) = 2.47 states/eV/f.u.
mass density = 7.66 Mg/m³
symmetry = No. 123

=====

No. 9
Computed, not measured: Nd4PS3 after structural relaxation at the PBE level of DFT.

Cell: 8.2220 11.5822 4.0886 Å, 90.00 90.00 90.00°
Positions (direct):
Nd1 0.0000 0.2459 0.0000
Nd2 0.0000 0.7541 0.0000
Nd3 0.2435 0.0000 0.5000
Nd4 0.2565 0.5000 0.5000
Nd5 0.5000 0.2541 0.0000
Nd6 0.5000 0.7459 0.0000
Nd7 0.7435 0.5000 0.5000
Nd8 0.7565 0.0000 0.5000
P1 0.0000 0.0000 0.0000
P2 0.5000 0.5000 0.0000
S1 0.0000 0.5000 0.0000
S2 0.2500 0.2500 0.5000
S3 0.2500 0.7500 0.5000
S4 0.5000 0.0000 0.0000
S5 0.7500 0.2500 0.5000
S6 0.7500 0.7500 0.5000

ΔE_f (raw) = -1.9458 eV per atom
N(E_F) = 2.24 states/eV/f.u.
mass density = 6.01 Mg/m³
symmetry = No. 65

=====

No. 10
Computed, not measured: NdP2S6 after structural relaxation at the PBE level of DFT.

Cell: 7.7205 7.7205 7.7205 Å, 49.99 49.99 49.99°
Positions (direct):
Nd1 0.0000 0.0000 0.0000
P1 0.2608 0.2608 0.2608
P2 0.3821 0.3821 0.3821
S1 0.0867 0.4435 0.6835
S2 0.1895 0.9626 0.5558
S3 0.4435 0.6835 0.0867
S4 0.5558 0.1895 0.9626
S5 0.6835 0.0867 0.4435
S6 0.9626 0.5558 0.1895

ΔE_f (raw) = -0.5955 eV per atom
N(E_F) = 6.56 states/eV/f.u.
mass density = 2.66 Mg/m³
symmetry = No. 146

=====

No. 11
Computed, not measured: NdPS after structural relaxation at the PBE level of DFT.

Cell: 7.2473 3.7597 9.4919 Å, 90.00 90.00 90.00°
Positions (direct):
Nd1 0.2031 0.2500 0.1585
Nd2 0.2969 0.7500 0.6585
Nd3 0.7031 0.2500 0.3415
Nd4 0.7969 0.7500 0.8415
P1 0.0841 0.2500 0.4626
P2 0.4159 0.7500 0.9626
P3 0.5841 0.2500 0.0374
P4 0.9159 0.7500 0.5374
S1 0.0967 0.2500 0.8443
S2 0.4033 0.7500 0.3443
S3 0.5967 0.2500 0.6557
S4 0.9033 0.7500 0.1557

ΔE_f (raw) = -1.4902 eV per atom
N(E_F) = 0.22 states/eV/f.u.
mass density = 5.32 Mg/m³
symmetry = No. 62

=====

No. 12
Computed, not measured: Nd6P2S3 after structural relaxation at the PBE level of DFT.

Cell: 6.9490 6.9490 6.9330 Å, 90.00 90.00 120.00°
Positions (direct):
Nd1 0.0000 0.3357 0.2563
Nd2 0.0000 0.6643 0.7437
Nd3 0.3357 0.0000 0.2563
Nd4 0.3357 0.3357 0.7437
Nd5 0.6643 0.0000 0.7437
Nd6 0.6643 0.6643 0.2563
P1 0.3333 0.6667 0.5000
P2 0.6667 0.3333 0.5000
S1 0.0000 0.0000 0.5000
S2 0.3333 0.6667 0.0000
S3 0.6667 0.3333 0.0000

ΔE_f (raw) = -1.6312 eV per atom
N(E_F) = 6.38 states/eV/f.u.
mass density = 5.86 Mg/m³
symmetry = No. 162